Material: MnInO3
Method: DFT, PBE with a Hubbard U
State: relaxed

The structure in POSCAR format:
```
MnInO3
1.0
3.698 0.000 0.000
0.000 5.851 -1.430
0.000 -0.075 5.757
Mn In O
2 2 6
Cartesian
2.773 2.937 0.884 Mn
0.924 2.840 3.443 Mn
0.924 0.160 1.418 In
2.773 5.617 2.909 In
2.773 1.025 0.422 O
0.924 4.751 3.905 O
0.924 2.762 1.181 O
2.773 4.885 0.846 O
0.924 0.892 3.481 O
2.773 3.015 3.146 O
```

Output
- SG: P2_1/m
- D(E_F): 0.094 states/eV/cell
- Raw total energy: -6.520 eV per atom